PBE-GGA Ba2InGePd4, optimized geometry; symmetry = P-3m1, No. 164; energy = -36.80 eV/cell
1.0
4.588 0.000 0.000
-2.294 3.973 0.000
0.000 0.000 11.226
Ba In Ge Pd
2 1 1 4
Direct
0.333 0.667 0.246
0.667 0.333 0.754
0.000 0.000 0.500
0.000 0.000 0.000
0.333 0.667 0.548
0.333 0.667 0.959
0.667 0.333 0.041
0.667 0.333 0.452

---

PBE-GGA BaIn2GePd, optimized geometry; symmetry = I4mm, No. 107; energy = -40.00 eV/cell
1.0
4.687 0.000 0.000
0.000 4.687 0.000
0.000 0.000 11.708
Ba In Ge Pd
2 4 2 2
Direct
0.000 0.000 0.000
0.500 0.500 0.500
0.000 0.500 0.252
0.000 0.500 0.752
0.500 0.000 0.252
0.500 0.000 0.752
0.000 0.000 0.412
0.500 0.500 0.912
0.000 0.000 0.628
0.500 0.500 0.128

---

PBE-GGA BaInGe2Pd, optimized geometry; symmetry = I4mm, No. 107; energy = -43.40 eV/cell
1.0
4.733 0.000 0.000
0.000 4.733 0.000
0.000 0.000 10.845
Ba In Ge Pd
2 2 4 2
Direct
0.000 0.000 0.000
0.500 0.500 0.500
0.000 0.000 0.395
0.500 0.500 0.895
0.000 0.500 0.242
0.000 0.500 0.742
0.500 0.000 0.242
0.500 0.000 0.742
0.000 0.000 0.649
0.500 0.500 0.149